# 1
Computed, not measured: crystalline RbNd2Dy at its relaxed geometry at the GGA-PBE level of DFT.

The calculation puts the total energy at -3.53 eV/atom. As for the total magnetic moment: 0.00 μB per atom. The formation energy from the elements is 0.24 eV per atom.

The structure belongs to space group R-3m (No. 166, hexagonal axes); the cell edges are 3.6954, 3.6954 and 40.5459 Å and the angles 90.00°, 90.00° and 120.00°. Symmetry generates all atoms from Rb at (0.0000, 0.0000, 0.0000), Nd at (0.0000, 0.0000, 0.0963) and Dy at (0.0000, 0.0000, 0.5000).

# 2
Computed, not measured: crystalline Rb3Nd2DyS6 at its relaxed geometry at the GGA-PBE level of DFT.

The calculation puts the total energy at -5.32 eV/atom. As for the total magnetic moment: 0.00 μB per atom. The energy relative to the elements, uncorrected comes out at -176.8 kJ/mol of atoms.

The structure belongs to space group C2/m (No. 12); the cell edges are 7.236, 12.533 and 8.081 Å and the angles 90.00°, 107.37° and 90.00°. Symmetry generates all atoms from Rb at (0.000, 0.000, 0.000), Rb at (0.000, 0.332, 0.000), Nd at (0.000, 0.167, 0.500), Dy at (0.000, 0.500, 0.500), S at (0.228, 0.337, 0.695) and S at (0.240, 0.000, 0.696).

# 3
Computed, not measured: crystalline Rb3NdDy2S6 at its relaxed geometry at the GGA-PBE level of DFT.

The calculation puts the total energy at -5.31 eV/atom. As for the total magnetic moment: 0.00 μB per atom. The energy relative to the elements, uncorrected comes out at -177.8 kJ/mol of atoms.

The structure belongs to space group C2/m (No. 12); the cell edges are 7.151, 12.386 and 8.063 Å and the angles 90.00°, 107.20° and 90.00°. Symmetry generates all atoms from Rb at (0.000, 0.000, 0.000), Rb at (0.000, 0.334, 0.000), Nd at (0.000, 0.500, 0.500), Dy at (0.000, 0.167, 0.500), S at (0.223, 0.000, 0.693) and S at (0.235, 0.329, 0.694).

# 4
Computed, not measured: crystalline RbNdDy4S8 at its relaxed geometry at the GGA-PBE level of DFT.

The calculation puts the total energy at -5.98 eV/atom. As for the total magnetic moment: 0.00 μB per atom. The energy relative to the elements, uncorrected comes out at -182.9 kJ/mol of atoms.

The structure belongs to space group R3m (No. 160, hexagonal axes); the cell edges are 8.2615, 8.2615 and 20.7023 Å and the angles 90.00°, 90.00° and 120.00°. Symmetry generates all atoms from Rb at (0.0000, 0.0000, 0.0000), Nd at (0.0000, 0.0000, 0.3658), Dy at (0.0000, 0.0000, 0.7451), Dy at (0.0114, 0.5057, 0.8722), S at (0.0000, 0.0000, 0.1411), S at (0.0000, 0.0000, 0.6137), S at (0.0147, 0.5074, 0.1244) and S at (0.1890, 0.3779, 0.9443).

# 5
Computed, not measured: crystalline Rb2NdDySe4 at its relaxed geometry at the GGA-PBE level of DFT.

The calculation puts the total energy at -4.89 eV/atom. As for the total magnetic moment: 0.00 μB per atom. The energy relative to the elements, uncorrected comes out at -167.3 kJ/mol of atoms.

The structure belongs to space group P2/m (No. 10); the cell edges are 7.468, 4.311 and 8.388 Å and the angles 90.00°, 107.25° and 90.00°. Symmetry generates all atoms from Rb at (0.000, 0.000, 0.000), Rb at (0.500, 0.500, 0.000), Nd at (0.000, 0.500, 0.500), Dy at (0.500, 0.000, 0.500), Se at (0.240, 0.000, 0.700) and Se at (0.275, 0.500, 0.303).

# 6
Computed, not measured: crystalline Rb4NdDy3Se8 at its relaxed geometry at the GGA-PBE level of DFT.

The calculation puts the total energy at -4.88 eV/atom. As for the total magnetic moment: 0.00 μB per atom. The energy relative to the elements, uncorrected comes out at -167.5 kJ/mol of atoms.

The structure belongs to space group R-3m (No. 166, hexagonal axes); the cell edges are 8.5538, 8.5538 and 24.0091 Å and the angles 90.00°, 90.00° and 120.00°. Symmetry generates all atoms from Rb at (0.0000, 0.0000, 0.0000), Rb at (0.0000, 0.5000, 0.0000), Nd at (0.0000, 0.0000, 0.5000), Dy at (0.0000, 0.5000, 0.5000), Se at (0.0000, 0.0000, 0.2315) and Se at (0.0070, 0.5035, 0.7675).

Which value of total magnetic moment does entry 5 give? 0.00 μB per atom

What is the total energy in the fifth record? -4.89 eV/atom

Repeat the fifth record exactly.
Computed, not measured: crystalline Rb2NdDySe4 at its relaxed geometry at the GGA-PBE level of DFT.

The calculation puts the total energy at -4.89 eV/atom. As for the total magnetic moment: 0.00 μB per atom. The energy relative to the elements, uncorrected comes out at -167.3 kJ/mol of atoms.

The structure belongs to space group P2/m (No. 10); the cell edges are 7.468, 4.311 and 8.388 Å and the angles 90.00°, 107.25° and 90.00°. Symmetry generates all atoms from Rb at (0.000, 0.000, 0.000), Rb at (0.500, 0.500, 0.000), Nd at (0.000, 0.500, 0.500), Dy at (0.500, 0.000, 0.500), Se at (0.240, 0.000, 0.700) and Se at (0.275, 0.500, 0.303).

What is the formula in the sixth record? Rb4NdDy3Se8